1.
A geometry-optimized ThTc3 structure, computed with PBE.

Cell lengths 5.4635, 5.4635, 9.2598 Å; angles 103.16, 103.16, 58.43 degrees
Element x y z (fractional)
Th (0.0000, 0.0000, 0.0000)
Th (0.1450, 0.1450, 0.4262)
Th (0.8550, 0.8550, 0.5738)
Tc (0.0598, 0.6000, 0.2369)
Tc (0.3593, 0.3593, 0.0085)
Tc (0.4000, 0.9402, 0.7631)
Tc (0.4219, 0.4219, 0.7409)
Tc (0.5000, 0.5000, 0.5000)
Tc (0.5781, 0.5781, 0.2591)
Tc (0.6000, 0.0598, 0.2369)
Tc (0.6407, 0.6407, 0.9915)
Tc (0.9402, 0.4000, 0.7631)

- VASP energy: -9.6656 eV per atom

---

2.
A geometry-optimized SbRuAu2F structure, computed with PBE.

Cell lengths 4.9308, 4.9308, 4.0048 Å; angles 90.00, 90.00, 90.00 degrees
Element x y z (fractional)
Sb (0.0000, 0.0000, 0.0000)
Ru (0.5000, 0.5000, 0.0000)
Au (0.0000, 0.5000, 0.5000)
Au (0.5000, 0.0000, 0.5000)
F (0.5000, 0.5000, 0.5000)

- VASP energy: -3.8668 eV per atom
- Formation energy (no corrections): 498.0 meV/atom

---

3.
A geometry-optimized TbNd5Er2Th structure, computed with PBE.

Cell lengths 10.6614, 10.6614, 10.6440 Å; angles 90.00, 90.00, 149.28 degrees
Element x y z (fractional)
Tb (0.0947, 0.9053, 0.5000)
Tb (0.9053, 0.0947, 0.0000)
Nd (0.0176, 0.9824, 0.7857)
Nd (0.1155, 0.8845, 0.0649)
Nd (0.2078, 0.7922, 0.7446)
Nd (0.2233, 0.7767, 0.3528)
Nd (0.4865, 0.5135, 0.0586)
Nd (0.5135, 0.4865, 0.5586)
Nd (0.7767, 0.2233, 0.8528)
Nd (0.7922, 0.2078, 0.2446)
Nd (0.8845, 0.1155, 0.5649)
Nd (0.9824, 0.0176, 0.2857)
Er (0.3847, 0.6153, 0.3488)
Er (0.3878, 0.6122, 0.7806)
Er (0.6122, 0.3878, 0.2806)
Er (0.6153, 0.3847, 0.8488)
Th (0.3002, 0.6998, 0.0517)
Th (0.6998, 0.3002, 0.5517)

- VASP energy: -4.8446 eV per atom